Computed, not measured: a relaxed structure of Tm2Zr3Sc4 at the PBE level of DFT.

- Formation enthalpy at 0 K: 0.0535 eV per atom
- Volume: 25.45 Å³ per atom
- Energy above the lowest structure with this stoichiometry: 0.000 eV/atom
- SG: P3m1

a = 3.320 Å, b = 3.320 Å, c = 24.002 Å
α = 90.00°, β = 90.00°, γ = 120.00°
Sites, in units of the cell vectors:
Tm 0.667 0.333 0.870
Tm 0.667 0.333 0.091
Sc 0.000 0.000 0.544
Sc 0.000 0.000 0.754
Sc 0.667 0.333 0.434
Sc 0.667 0.333 0.225
Zr 0.667 0.333 0.649
Zr 0.000 0.000 0.983
Zr 0.000 0.000 0.328